No. 1
Entry from Alexandria: crystalline KPuCuF6 at its relaxed geometry (PBE).

```
9
Lattice="5.809 0.000 0.000 -2.905 5.031 0.000 0.000 0.000 5.706" Properties=species:S:1:pos:R:3 pbc="T T T"
K 0.000 0.000 0.000
Pu 0.000 3.354 2.853
Cu 2.905 1.677 2.853
F 2.113 0.003 4.040
F 1.059 1.829 1.666
F 3.696 0.003 1.666
F 1.850 3.200 4.040
F 4.750 1.829 4.040
F 3.959 3.200 1.666
```

Results
Total DFT energy (no corrections) = -6.19 eV/atom
Formation energy without anion corrections = -2777 meV/atom
Symmetry = P312


No. 2
Entry from Alexandria: crystalline AgP2IrS at its relaxed geometry (PBE).

```
5
Lattice="4.463 0.000 0.000 0.000 4.463 0.000 0.000 0.000 5.335" Properties=species:S:1:pos:R:3 pbc="T T T"
Ag 0.000 0.000 0.000
P 0.000 2.232 2.667
P 2.232 0.000 2.667
Ir 2.232 2.232 2.667
S 2.232 2.232 0.000
```

Results
Total DFT energy (no corrections) = -4.67 eV/atom
Formation energy without anion corrections = 657 meV/atom
Offset from the most stable computed form = 0.000 eV/atom
Symmetry = P4/mmm


No. 3
Entry from Alexandria: crystalline CsRb2Cl7 at its relaxed geometry (PBE).

```
10
Lattice="-3.839 3.839 6.957 3.839 -3.839 6.957 3.839 3.839 -6.957" Properties=species:S:1:pos:R:3 pbc="T T T"
Cs 0.000 0.000 0.000
Rb 3.839 0.000 3.479
Rb 0.000 3.839 3.479
Cl 0.000 0.000 3.298
Cl 2.230 2.230 0.000
Cl 1.609 -1.609 6.957
Cl 0.000 0.000 6.957
Cl -1.609 1.609 6.957
Cl 1.609 1.609 6.957
Cl 0.000 0.000 10.616
```

Results
Total DFT energy (no corrections) = -2.53 eV/atom
Formation energy without anion corrections = -956 meV/atom
Symmetry = I4/mmm


No. 4
Entry from Alexandria: crystalline NiAgCl2 at its relaxed geometry (PBE).

```
4
Lattice="3.960 0.000 0.000 0.000 3.386 0.000 -1.948 0.000 6.817" Properties=species:S:1:pos:R:3 pbc="T T T"
Ni 0.000 0.000 0.000
Ag 0.031 1.693 5.862
Cl -0.003 1.693 1.461
Cl 2.011 0.000 4.621
```

Results
Total DFT energy (no corrections) = -3.35 eV/atom
Formation energy without anion corrections = -268 meV/atom
Offset from the most stable computed form = 0.021 eV/atom
Symmetry = Pm